VASP calculation (PBEsol) on LiMnP3O9 after structural relaxation.

## Properties
Uncorrected formation energy   -2101.7 meV per atom

Cell and atoms, written as extended XYZ:
```
28
Lattice="6.805 -0.445 0.301 0.420 6.525 -0.107 1.317 0.333 7.168" Properties=species:S:1:pos:R:3 pbc="T T T"
Li 4.296 5.676 6.008
Li 4.246 0.736 1.353
Mn 7.680 5.382 6.316
Mn 0.862 1.030 1.045
P 6.189 5.424 3.368
P 1.327 4.359 1.545
P 4.305 4.050 1.548
P 4.237 2.362 5.814
P 7.215 2.053 5.817
P 2.353 0.989 3.994
O 2.688 6.342 4.829
O 6.072 5.675 4.847
O 1.173 5.420 0.460
O 4.655 5.122 0.533
O 7.495 4.508 3.198
O 5.007 4.436 2.956
O 2.810 4.297 2.061
O 4.009 3.786 6.126
O 7.786 3.397 6.069
O 0.756 3.015 1.293
O 4.533 2.626 1.236
O 5.732 2.115 5.301
O 3.535 1.976 4.406
O 1.047 1.904 4.163
O 3.887 1.290 6.829
O 7.369 0.992 6.902
O 2.470 0.737 2.515
O 5.854 0.070 2.533
```

VASP calculation (PBEsol) on YTiP2O after structural relaxation.

## Properties
Uncorrected formation energy   -39.7 meV per atom

Cell and atoms, written as extended XYZ:
```
5
Lattice="-1.433 -1.071 -3.601 -1.675 -4.434 1.985 -4.499 2.207 1.134" Properties=species:S:1:pos:R:3 pbc="T T T"
Y 0.000 0.000 0.000
P -2.250 1.103 0.567
P -0.837 -2.217 0.992
O -0.716 -0.535 -1.801
Ti -3.803 -1.649 -0.241
```

VASP calculation (PBEsol) on MgTePb2O6 after structural relaxation.

## Properties
Uncorrected formation energy   -1483.7 meV per atom

Cell and atoms, written as extended XYZ:
```
10
Lattice="5.640 0.000 0.000 2.820 4.884 0.000 2.820 1.628 4.605" Properties=species:S:1:pos:R:3 pbc="T T T"
Mg 0.000 0.000 0.000
O 5.640 4.830 3.416
O 5.640 1.682 1.189
O 7.003 2.469 3.416
O 4.276 4.043 1.189
O 4.276 2.469 3.416
O 7.003 4.043 1.189
Pb 2.820 1.628 1.151
Pb 8.459 4.884 3.453
Te 5.640 3.256 2.302
```

VASP calculation (PBEsol) on SrMo2P after structural relaxation.

## Properties
Formation energy   0.75 eV/atom

Cell and atoms, written as extended XYZ:
```
4
Lattice="-2.266 -3.223 -0.125 2.562 -1.706 -2.462 2.279 -1.741 3.579" Properties=species:S:1:pos:R:3 pbc="T T T"
Mo 1.281 -0.853 -1.231
Mo -1.133 -1.611 -0.062
P 1.288 -3.335 0.496
Sr 1.140 -0.871 1.790
```

VASP calculation (PBEsol) on Cd2HgAs after structural relaxation.

## Properties
Formation energy   0.03 eV/atom

Cell and atoms, written as extended XYZ:
```
4
Lattice="4.270 0.000 0.000 -2.135 3.585 -0.130 0.000 -2.422 6.106" Properties=species:S:1:pos:R:3 pbc="T T T"
As 2.135 0.000 0.000
Hg 0.000 -1.211 3.053
Cd 2.135 -0.041 4.700
Cd 0.000 1.205 1.276
```

VASP calculation (PBEsol) on BaMgAl2 after structural relaxation.

## Properties
Formation energy   0.14 eV/atom

Cell and atoms, written as extended XYZ:
```
4
Lattice="-2.442 1.523 3.744 -3.191 -3.408 -0.695 2.478 -2.889 2.791" Properties=species:S:1:pos:R:3 pbc="T T T"
Mg -1.221 0.762 1.872
Ba -1.578 -2.387 2.920
Al 1.239 -1.445 1.396
Al -1.596 -1.704 -0.348
```

VASP calculation (PBEsol) on YNi2Se after structural relaxation.

## Properties
Uncorrected formation energy   -586.8 meV per atom

Cell and atoms, written as extended XYZ:
```
4
Lattice="3.978 0.000 0.000 1.989 3.445 0.000 1.989 1.148 4.716" Properties=species:S:1:pos:R:3 pbc="T T T"
Ni 1.989 1.148 4.200
Ni 5.968 3.445 3.494
Se 3.978 2.297 2.962
Y 1.989 1.148 1.133
```

VASP calculation (PBEsol) on SiTe after structural relaxation.

## Properties
Uncorrected formation energy   321.1 meV per atom

Cell and atoms, written as extended XYZ:
```
6
Lattice="-3.618 -1.967 -0.482 -0.262 -1.090 6.418 -2.616 5.422 -2.494" Properties=species:S:1:pos:R:3 pbc="T T T"
Si -2.884 1.244 -1.266
Si -1.917 -1.431 2.396
Si -3.505 1.568 2.071
Te -1.809 -0.984 -0.241
Te -1.831 3.251 0.477
Te -1.047 1.081 3.448
```

VASP calculation (PBEsol) on CaTc2Mo after structural relaxation.

## Properties
Formation energy   0.52 eV/atom

Cell and atoms, written as extended XYZ:
```
4
Lattice="-0.696 -1.957 -2.340 3.040 -0.252 -0.694 0.569 -5.617 4.528" Properties=species:S:1:pos:R:3 pbc="T T T"
Mo 1.633 -5.656 2.153
Ca 0.281 -2.774 2.236
Tc 0.003 -0.032 0.026
Tc 1.280 -2.172 -0.656
```

VASP calculation (PBEsol) on NaGa3P2H4O12 after structural relaxation.

## Properties
E   -559.2 eV per cell

Cell and atoms, written as extended XYZ:
```
88
Lattice="-3.814 2.229 -5.797 5.780 -5.976 -6.101 -6.438 -9.078 2.792" Properties=species:S:1:pos:R:3 pbc="T T T"
Na -0.550 -3.270 -4.644
Na 3.173 -8.166 -5.037
Na -7.645 -4.660 -4.068
Na -3.923 -9.555 -4.462
Ga 2.179 -3.830 -7.904
Ga 0.842 -1.645 -1.729
Ga -2.744 -2.499 -7.729
Ga 1.718 -6.880 -7.925
Ga -4.910 -3.786 -5.949
Ga -0.334 -7.605 -5.720
Ga -4.139 -5.221 -3.386
Ga 0.438 -9.040 -3.157
Ga -6.191 -5.946 -1.181
Ga -1.728 -10.326 -1.377
Ga -5.314 -11.180 -7.377
Ga -6.651 -8.996 -1.202
P -3.151 -1.100 -4.835
P 1.973 -5.236 -5.062
P -0.959 -5.091 -7.564
P -1.991 -3.470 -1.832
P -2.481 -9.355 -7.274
P -3.514 -7.734 -1.542
P -6.446 -7.590 -4.044
P -1.321 -11.726 -4.271
H -1.017 -0.804 -6.937
H 2.086 -4.383 -10.564
H 0.142 -2.598 -7.883
H 3.956 -5.798 -7.947
H -4.968 -2.852 -3.760
H -2.753 -5.368 -5.469
H -0.550 -8.016 -8.146
H -0.449 -6.552 -2.667
H -4.023 -6.273 -6.439
H -3.923 -4.809 -0.960
H -1.720 -7.458 -3.637
H 0.495 -9.973 -5.346
H -8.429 -7.027 -1.159
H -4.614 -10.227 -1.223
H -6.559 -8.443 1.458
H -3.456 -12.022 -2.169
O -5.385 -11.387 -5.367
O -0.342 -0.136 -1.928
O -1.754 -0.909 -7.596
O -3.452 0.222 -5.598
O 2.976 -5.515 -8.001
O 1.856 -3.961 -5.957
O -1.725 -1.114 -4.258
O 3.443 -5.555 -4.722
O -1.192 -3.580 -7.261
O 0.508 -5.200 -8.077
O -0.481 -3.193 -2.144
O -3.284 -2.368 -5.728
O -4.246 -1.236 -3.736
O 1.087 -4.914 -3.850
O -2.675 -2.169 -1.388
O 1.439 -6.522 -5.780
O -1.862 -5.617 -8.692
O -1.199 -5.853 -6.229
O -2.555 -4.087 -3.128
O 0.230 -7.954 -7.531
O -2.182 -4.426 -0.612
O -0.233 -6.045 -1.807
O -5.311 -3.729 -4.083
O -3.731 -5.358 -5.265
O -0.742 -7.467 -3.841
O 0.839 -9.096 -5.023
O -4.239 -6.780 -7.298
O -2.290 -8.399 -8.494
O -4.702 -4.871 -1.575
O -1.917 -8.738 -5.978
O -3.273 -6.973 -2.877
O -2.610 -7.209 -0.414
O -5.911 -6.304 -3.326
O -1.798 -10.656 -7.718
O -5.560 -7.911 -5.256
O -0.226 -11.589 -5.370
O -1.188 -10.457 -3.377
O -3.991 -9.632 -6.962
O -4.980 -7.625 -1.029
O -3.281 -9.245 -1.845
O -7.915 -7.270 -4.384
O -2.747 -11.712 -4.848
O -6.328 -8.864 -3.149
O -7.449 -7.310 -1.105
O -1.020 -13.047 -3.507
O -2.718 -11.916 -1.510
O -4.130 -12.689 -7.178
O 0.912 -1.438 -3.739
```

VASP calculation (PBEsol) on ScTl2NiS after structural relaxation.

## Properties
Uncorrected formation energy   185.6 meV per atom

Cell and atoms, written as extended XYZ:
```
5
Lattice="3.939 0.000 0.000 0.000 5.542 0.000 0.000 0.000 5.542" Properties=species:S:1:pos:R:3 pbc="T T T"
Sc 1.970 2.771 2.771
Ni 1.970 0.000 0.000
Tl 0.000 0.000 2.771
Tl 0.000 2.771 0.000
S 0.000 0.000 0.000
```

VASP calculation (PBEsol) on Li2InAs after structural relaxation.

## Properties
Formation energy   -0.37 eV/atom

Cell and atoms, written as extended XYZ:
```
4
Lattice="2.996 0.000 0.000 -0.098 2.995 0.000 0.000 0.000 7.961" Properties=species:S:1:pos:R:3 pbc="T T T"
As 1.449 1.498 3.980
In 1.449 1.498 0.000
Li 0.000 0.000 2.296
Li 0.000 0.000 5.665
```